5
Lattice="-1.412 -2.282 -2.973 4.663 0.249 -2.406 1.186 -3.286 1.959" Properties=species:S:1:pos:R:3 comment="HfMnTlO2, relaxed, DFT PBE with a Hubbard U" magmom_total_mub_per_fu=3.9 final_energy_ev_per_atom=-6.1011 pbc="T T T"
Hf 2.219 -2.660 -1.710
O -0.706 -1.141 -1.486
Mn 0.000 0.000 0.000
O 0.593 -1.643 0.980
Tl 2.332 0.124 -1.203